Entry 1:
Below is a relaxed structure of CaSiHSe2, with properties calculated at the PBE level.

Summary:
The value obtained for the total energy is -21.55 eV per formula unit. The excess energy over the best structure of this formula in the dataset comes out at 0.042 eV per atom.

abc: 4.6966 4.6966 6.3474
angles: 105.89 105.89 57.40
Last column: nearest neighbours and their distance in Å.
Positions (direct):
1 Ca 0.0000 0.0000 0.0000  6 Se 2.94-3.23, 1 Si 3.24
2 Si 0.3242 0.3242 0.4475  1 H 1.50
3 H 0.5153 0.5153 0.5185  1 Si 1.50
4 Se 0.2796 0.2796 0.7907  1 Si 2.32
5 Se 0.7578 0.7578 0.2826  2 Si 2.47

=====

Entry 2:
Below is a relaxed structure of CaSiHSe2, with properties calculated at the PBE level.

Summary:
The value obtained for the total energy is -21.18 eV per formula unit. The excess energy over the best structure of this formula in the dataset comes out at 0.117 eV per atom.

abc: 3.5487 6.9645 3.9386
angles: 90.00 90.00 90.00
Last column: nearest neighbours and their distance in Å.
Positions (direct):
1 Ca 0.0000 0.0000 0.0000  8 Se 3.12-3.13
2 Si 0.0000 0.5000 0.4564  1 H 1.55
3 H 0.0000 0.5000 0.0628  1 Si 1.55
4 Se 0.5000 0.2366 0.5024  2 Si 2.56
5 Se 0.5000 0.7634 0.5024  2 Si 2.56

=====

Entry 3:
Below is a relaxed structure of CaSnH2Se, with properties calculated at the PBE level.

Summary:
The value obtained for the total energy is -17.50 eV per formula unit.

abc: 4.0039 4.0039 7.1226
angles: 90.00 90.00 90.00
Last column: nearest neighbours and their distance in Å.
Positions (direct):
1 Ca 0.0000 0.0000 0.0000  4 Se 2.83
2 Sn 0.0000 0.0000 0.5000  4 H 2.00
3 H 0.0000 0.5000 0.5000  2 Sn 2.00
4 H 0.5000 0.0000 0.5000  2 Sn 2.00
5 Se 0.5000 0.5000 0.0000  4 Ca 2.83

=====

Entry 4:
Below is a relaxed structure of CaTaHSe2, with properties calculated at the PBE level.

Summary:
The value obtained for the total energy is -27.95 eV per formula unit.

abc: 5.0901 5.0901 3.7537
angles: 90.00 90.00 90.00
Last column: nearest neighbours and their distance in Å.
Positions (direct):
1 Ca 0.0000 0.0000 0.0000  8 Se 3.16
2 Ta 0.5000 0.5000 0.5000  2 H 1.88
3 H 0.5000 0.5000 0.0000  2 Ta 1.88
4 Se 0.0000 0.5000 0.5000  2 Ta 2.55
5 Se 0.5000 0.0000 0.5000  2 Ta 2.55

=====

Entry 5:
Below is a relaxed structure of CaVH2Se, with properties calculated at the PBE level.

Summary:
The value obtained for the total energy is -23.86 eV per formula unit.

abc: 3.9544 3.9544 5.1217
angles: 90.00 90.00 90.00
Last column: nearest neighbours and their distance in Å.
Positions (direct):
1 Ca 0.0000 0.0000 0.0000  4 Se 2.80
2 V 0.5000 0.5000 0.5000  4 H 1.98
3 H 0.0000 0.5000 0.5000  2 V 1.98
4 H 0.5000 0.0000 0.5000  2 V 1.98
5 Se 0.5000 0.5000 0.0000  2 V 2.56, 4 Ca 2.80

=====

Entry 6:
Below is a relaxed structure of CaVHSe2, with properties calculated at the PBE level.

Summary:
The value obtained for the total energy is -25.63 eV per formula unit.

abc: 5.0109 5.0109 3.7245
angles: 90.00 90.00 90.00
Last column: nearest neighbours and their distance in Å.
Positions (direct):
1 Ca 0.0000 0.0000 0.0000  8 Se 3.12
2 V 0.5000 0.5000 0.5000  2 H 1.86
3 H 0.5000 0.5000 0.0000  2 V 1.86
4 Se 0.0000 0.5000 0.5000  2 V 2.51
5 Se 0.5000 0.0000 0.5000  2 V 2.51

=====

Entry 7:
Below is a relaxed structure of CaSiH3, with properties calculated at the PBE level.

Summary:
The value obtained for the total energy is -15.05 eV per formula unit. The excess energy over the best structure of this formula in the dataset comes out at 0.385 eV per atom.

abc: 4.0392 4.0392 4.0392
angles: 90.00 90.00 90.00
Last column: nearest neighbours and their distance in Å.
Positions (direct):
1 Ca 0.0000 0.0000 0.0000  6 H 2.02
2 Si 0.5000 0.5000 0.5000  12 H 2.86
3 H 0.0000 0.0000 0.5000  2 Ca 2.02
4 H 0.0000 0.5000 0.0000  2 Ca 2.02
5 H 0.5000 0.0000 0.0000  2 Ca 2.02

=====

Entry 8:
Below is a relaxed structure of CaSiH2, with properties calculated at the PBE level.

Summary:
The value obtained for the total energy is -13.86 eV per formula unit. The excess energy over the best structure of this formula in the dataset comes out at 0.000 eV per atom.

abc: 6.4446 6.4446 6.4446
angles: 140.91 140.91 56.47
Last column: nearest neighbours and their distance in Å.
Positions (direct):
1 Ca 0.0000 0.0000 0.0000  4 H 2.44
2 Ca 0.7500 0.2500 0.5000  4 H 2.44
3 Si 0.2500 0.7500 0.5000  4 H 1.85
4 Si 0.5000 0.5000 0.0000  4 H 1.85
5 H 0.2630 0.6250 0.1380  2 Si 1.85
6 H 0.3750 0.5130 0.6380  2 Si 1.85
7 H 0.4870 0.1250 0.8620  2 Si 1.85
8 H 0.8750 0.7370 0.3620  2 Si 1.85